! Co2SeBr PBE relaxed; values from VASP
&SYSTEM
  ibrav = 0, nat = 16, ntyp = 3
/
ATOMIC_SPECIES
Co 58.93 Co.upf
Se 78.96 Se.upf
Br 79.90 Br.upf
ATOMIC_POSITIONS crystal
Co 0.2500 0.2500 0.2500
Co 0.2500 0.2500 0.7500
Co 0.2500 0.7500 0.2500
Co 0.2500 0.7500 0.7500
Co 0.7500 0.2500 0.2500
Co 0.7500 0.2500 0.7500
Co 0.7500 0.7500 0.2500
Co 0.7500 0.7500 0.7500
Se 0.0000 0.0000 0.0000
Se 0.0000 0.5000 0.5000
Se 0.5000 0.0000 0.5000
Se 0.5000 0.5000 0.0000
Br 0.0000 0.0000 0.5000
Br 0.0000 0.5000 0.0000
Br 0.5000 0.0000 0.0000
Br 0.5000 0.5000 0.5000
CELL_PARAMETERS angstrom
6.1680 0.0000 0.0000
0.0000 6.1680 0.0000
0.0000 0.0000 6.1680
! Polymorph energy (0 for the lowest one), meV/atom: 666
! Total DFT energy (no corrections), eV per atom: -4.239
! Crystal system: cubic
! Uncorrected formation energy, kcal/mol of atoms: 13.92

! ZrCrPt2 PBE relaxed; values from VASP
&SYSTEM
  ibrav = 0, nat = 4, ntyp = 3
/
ATOMIC_SPECIES
Zr 91.22 Zr.upf
Cr 52.00 Cr.upf
Pt 195.08 Pt.upf
ATOMIC_POSITIONS crystal
Zr 0.0000 0.0000 0.0000
Cr 0.0000 0.5000 0.6054
Pt 0.5000 0.0000 0.5109
Pt 0.5000 0.5000 0.1408
CELL_PARAMETERS angstrom
2.9985 0.0000 0.0000
0.0000 4.6057 0.0000
0.0000 0.0000 4.8886
! Total DFT energy (no corrections), eV per atom: -8.130
! Crystal system: orthorhombic
! Energy of formation from the pure elements, eV/atom: -0.567

! TmThScAl PBE relaxed; values from VASP
&SYSTEM
  ibrav = 0, nat = 16, ntyp = 4
/
ATOMIC_SPECIES
Tm 168.93 Tm.upf
Th 232.04 Th.upf
Sc 44.96 Sc.upf
Al 26.98 Al.upf
ATOMIC_POSITIONS crystal
Tm 0.0000 0.0000 0.0000
Tm 0.0000 0.5000 0.5000
Tm 0.5000 0.0000 0.5000
Tm 0.5000 0.5000 0.0000
Th 0.0000 0.0000 0.5000
Th 0.0000 0.5000 0.0000
Th 0.5000 0.0000 0.0000
Th 0.5000 0.5000 0.5000
Sc 0.2500 0.2500 0.2500
Sc 0.2500 0.7500 0.7500
Sc 0.7500 0.2500 0.7500
Sc 0.7500 0.7500 0.2500
Al 0.2500 0.2500 0.7500
Al 0.2500 0.7500 0.2500
Al 0.7500 0.2500 0.2500
Al 0.7500 0.7500 0.7500
CELL_PARAMETERS angstrom
7.4260 0.0000 0.0000
0.0000 7.4260 0.0000
0.0000 0.0000 7.4260
! Polymorph energy (0 for the lowest one), meV/atom: 131
! Total DFT energy (no corrections), eV per atom: -5.566
! Crystal system: cubic
! Energy of formation from the pure elements, eV/atom: -0.075

! TmMg3Co PBE relaxed; values from VASP
&SYSTEM
  ibrav = 0, nat = 10, ntyp = 3
/
ATOMIC_SPECIES
Tm 168.93 Tm.upf
Mg 24.30 Mg.upf
Co 58.93 Co.upf
ATOMIC_POSITIONS crystal
Tm 0.0435 0.0435 0.2448
Tm 0.9565 0.9565 0.7552
Mg 0.1787 0.1787 0.9931
Mg 0.2712 0.2712 0.6665
Mg 0.3938 0.3938 0.3480
Mg 0.6062 0.6062 0.6520
Mg 0.7288 0.7288 0.3335
Mg 0.8213 0.8213 0.0069
Co 0.4287 0.4287 0.9970
Co 0.5713 0.5713 0.0030
CELL_PARAMETERS angstrom
7.8112 -1.9605 0.0000
7.8112 1.9605 0.0000
-2.7262 0.0000 6.9544
! Total DFT energy (no corrections), eV per atom: -3.383
! Crystal system: monoclinic
! Energy of formation from the pure elements, eV/atom: -0.111

! RbBaNbP2 PBE relaxed; values from VASP
&SYSTEM
  ibrav = 0, nat = 5, ntyp = 4
/
ATOMIC_SPECIES
Rb 85.47 Rb.upf
Ba 137.33 Ba.upf
Nb 92.91 Nb.upf
P 30.97 P.upf
ATOMIC_POSITIONS crystal
Rb 0.0000 0.0000 0.0000
Ba 0.0000 0.0000 0.5000
Nb 0.5000 0.5000 0.0000
P 0.0000 0.5000 0.5000
P 0.5000 0.0000 0.5000
CELL_PARAMETERS angstrom
5.7631 0.0000 0.0000
0.0000 5.7631 0.0000
0.0000 0.0000 6.0727
! Total DFT energy (no corrections), eV per atom: -3.185
! Crystal system: tetragonal
! Energy of formation from the pure elements, eV/atom: 1.571

! ScCdIn4 PBE relaxed; values from VASP
&SYSTEM
  ibrav = 0, nat = 6, ntyp = 3
/
ATOMIC_SPECIES
Sc 44.96 Sc.upf
Cd 112.41 Cd.upf
In 114.82 In.upf
ATOMIC_POSITIONS crystal
Sc 0.0000 0.0000 0.0000
Cd 0.7500 0.7500 0.7500
In 0.3751 0.3751 0.3751
In 0.3751 0.3751 0.8748
In 0.3751 0.8748 0.3751
In 0.8748 0.3751 0.3751
CELL_PARAMETERS angstrom
0.0000 4.2589 4.2589
4.2589 0.0000 4.2589
4.2589 4.2589 0.0000
! Polymorph energy (0 for the lowest one), meV/atom: 144
! Total DFT energy (no corrections), eV per atom: -2.941
! Crystal system: cubic
! Energy of formation from the pure elements, eV/atom: 0.092

! Sm3SnHg PBE relaxed; values from VASP
&SYSTEM
  ibrav = 0, nat = 20, ntyp = 3
/
ATOMIC_SPECIES
Sm 150.36 Sm.upf
Sn 118.71 Sn.upf
Hg 200.59 Hg.upf
ATOMIC_POSITIONS crystal
Sm 0.0148 0.8019 0.9186
Sm 0.0738 0.4263 0.6838
Sm 0.1981 0.9852 0.5814
Sm 0.3011 0.5131 0.0812
Sm 0.4263 0.0738 0.1838
Sm 0.4869 0.6989 0.4188
Sm 0.5131 0.3011 0.5812
Sm 0.5737 0.9262 0.8162
Sm 0.6989 0.4869 0.9188
Sm 0.8019 0.0148 0.4186
Sm 0.9262 0.5737 0.3162
Sm 0.9852 0.1981 0.0814
Sn 0.1471 0.8529 0.2500
Sn 0.3539 0.6461 0.7500
Sn 0.6461 0.3539 0.2500
Sn 0.8529 0.1471 0.7500
Hg 0.1951 0.3023 0.3707
Hg 0.3023 0.1951 0.8707
Hg 0.6977 0.8049 0.1293
Hg 0.8049 0.6977 0.6293
CELL_PARAMETERS angstrom
6.0804 -5.6840 0.0000
6.0804 5.6840 0.0000
-0.0030 0.0000 8.9638
! Total DFT energy (no corrections), eV per atom: -4.113
! Crystal system: monoclinic
! Energy of formation from the pure elements, eV/atom: -0.421

! Ta3PtN PBE relaxed; values from VASP
&SYSTEM
  ibrav = 0, nat = 5, ntyp = 3
/
ATOMIC_SPECIES
Ta 180.95 Ta.upf
Pt 195.08 Pt.upf
N 14.01 N.upf
ATOMIC_POSITIONS crystal
Ta 0.0000 0.0000 0.5000
Ta 0.0000 0.5000 0.0000
Ta 0.5000 0.0000 0.0000
Pt 0.5000 0.5000 0.5000
N 0.0000 0.0000 0.0000
CELL_PARAMETERS angstrom
4.2240 0.0000 0.0000
0.0000 4.2240 0.0000
0.0000 0.0000 4.2240
! Total DFT energy (no corrections), eV per atom: -10.670
! Crystal system: cubic
! Uncorrected formation energy, kcal/mol of atoms: -15.79